LaP2Pt, single point on PBEsol structure, DFT meta-GGA SCAN; D(E_F) = 2.5 states/eV/f.u.; ΔE to the lowest computed polymorph = 348.7 meV per atom; total energy = -2.492 Ry/atom; ΔH_f (0 K) = -0.375 eV/atom
1.0
3.4006 0.0000 0.0000
0.0000 3.4006 0.0000
0.0000 0.0000 6.3278
La P Pt
1 2 1
Direct
0.5000 0.5000 0.5000
0.0000 0.0000 0.1742
0.0000 0.0000 0.8258
0.5000 0.5000 0.0000



Mg2NbMoS, single point on PBEsol structure, DFT meta-GGA SCAN; D(E_F) = 3.2 states/eV/f.u.; energy relative to the elements, uncorrected = 1368.0 meV/atom; total energy = -1.187 Ry/atom
1.0
-4.0473 1.3016 -1.5800
1.7924 -0.4373 -4.9517
-1.5734 -5.0430 -0.1242
S Nb Mo Mg
1 1 1 2
Direct
0.5000 0.5000 0.5000
0.0000 0.0000 0.0000
0.5000 0.0000 0.0000
0.0000 0.5000 0.0000
0.0000 0.0000 0.5000



Y2TcAu, single point on PBEsol structure, DFT meta-GGA SCAN; D(E_F) = 2.7 states/eV/f.u.; total energy = -2.959 Ry/atom; ΔH_f (0 K) = -0.284 eV/atom
1.0
3.5769 0.0000 0.0000
0.0000 4.6836 0.0000
-1.7884 -2.3418 4.9640
Y Tc Au
2 1 1
Direct
0.7578 0.2578 0.5156
0.9776 0.9776 0.9551
0.2420 0.7420 0.4841
0.5226 0.5226 0.0452



KTe2F, single point on PBEsol structure, DFT meta-GGA SCAN; D(E_F) = 1.1 states/eV/f.u.; ΔE to the lowest computed polymorph = 0.0 meV per atom; energy relative to the elements, uncorrected = -1183.8 meV/atom; total energy = -1.674 Ry/atom
1.0
-2.3657 1.9731 2.7123
0.6563 -2.9826 2.7422
12.4676 7.6160 2.2281
Te F K
4 2 2
Direct
0.6250 0.6241 0.7500
0.1250 0.1259 0.7500
0.8741 0.3750 0.2500
0.3759 0.8750 0.2500
0.5000 0.5000 0.0000
0.7500 0.2500 0.5000
0.2500 0.7500 0.5000
0.0000 0.0000 0.0000



GaSiMo2, single point on PBEsol structure, DFT meta-GGA SCAN; D(E_F) = 3.8 states/eV/f.u.; energy relative to the elements, uncorrected = 95.1 meV/atom; total energy = -1.759 Ry/atom
1.0
4.3131 0.0000 0.0000
2.1566 3.7353 0.0000
2.1566 1.2451 3.5217
Mo Si Ga
2 1 1
Direct
0.2500 0.2500 0.2500
0.7500 0.7500 0.7500
0.0000 0.0000 0.0000
0.5000 0.5000 0.5000



Cd2AgHg, single point on PBEsol structure, DFT meta-GGA SCAN; D(E_F) = 0.9 states/eV/f.u.; total energy = -2.947 Ry/atom; ΔH_f (0 K) = -0.011 eV/atom
1.0
3.2379 0.0000 -0.5772
0.0000 3.9597 0.0000
-2.1881 0.0000 6.5002
Hg Cd Ag
1 2 1
Direct
0.5000 0.5000 0.0000
0.7395 0.0000 0.7397
0.2605 0.0000 0.2603
0.0000 0.5000 0.5000



HfZrBi2, single point on PBEsol structure, DFT meta-GGA SCAN; D(E_F) = 2.8 states/eV/f.u.; ΔE to the lowest computed polymorph = 694.8 meV per atom; total energy = -4.566 Ry/atom; ΔH_f (0 K) = 0.515 eV/atom
1.0
-2.6267 -1.7129 -5.7933
4.5378 -4.7298 -0.6590
-4.9151 -1.0016 6.2701
Bi Zr Hf
4 2 2
Direct
0.1250 0.1202 0.7500
0.6250 0.6298 0.7500
0.8798 0.3750 0.2500
0.3702 0.8750 0.2500
0.7500 0.2500 0.5000
0.5000 0.5000 0.0000
0.2500 0.7500 0.5000
0.0000 0.0000 0.0000



CaTi2PRu, single point on PBEsol structure, DFT meta-GGA SCAN; D(E_F) = 4.5 states/eV/f.u.; total energy = -1.140 Ry/atom; ΔH_f (0 K) = 1.880 eV/atom
1.0
4.3087 0.0000 0.0000
0.0000 4.3087 0.0000
0.0000 0.0000 4.7112
P Ca Ru Ti
1 1 1 2
Direct
0.0000 0.0000 0.5000
0.0000 0.0000 0.0000
0.5000 0.5000 0.5000
0.5000 0.0000 0.0000
0.0000 0.5000 0.0000



KSnTeI2, single point on PBEsol structure, DFT meta-GGA SCAN; D(E_F) = 4.0 states/eV/f.u.; energy relative to the elements, uncorrected = -593.3 meV/atom; total energy = -2.322 Ry/atom
1.0
-2.8444 -0.5927 4.8613
-5.1160 -0.9727 -3.1121
1.1607 -5.9545 -0.0469
K I Sn Te
1 2 1 1
Direct
0.5000 0.5000 0.5000
0.0000 0.5000 0.0000
0.0000 0.0000 0.5000
0.0000 0.0000 0.0000
0.5000 0.0000 0.0000



Li2ZnPt, single point on PBEsol structure, DFT meta-GGA SCAN; D(E_F) = 1.1 states/eV/f.u.; total energy = -1.666 Ry/atom; ΔH_f (0 K) = -0.549 eV/atom
1.0
2.8537 0.0000 0.0000
0.0000 4.3235 -0.1090
-1.4269 -1.3872 4.4266
Li Zn Pt
2 1 1
Direct
0.2536 0.2594 0.5072
0.7464 0.7406 0.4928
0.5000 0.0000 0.0000
0.0000 0.5000 0.0000



NiIrOs, single point on PBEsol structure, DFT meta-GGA SCAN; D(E_F) = 2.0 states/eV/f.u.; ΔE to the lowest computed polymorph = 0.0 meV per atom; total energy = -3.900 Ry/atom; ΔH_f (0 K) = -0.009 eV/atom
1.0
2.6862 0.0000 0.0000
0.0000 3.6784 0.0000
-1.3431 -1.8392 3.9061
Os Ni Ir
1 1 1
Direct
0.6684 0.6684 0.3367
0.3313 0.3313 0.6626
0.0003 0.0003 0.0007



MgCr4S8, single point on PBEsol structure, DFT meta-GGA SCAN; D(E_F) = 4.4 states/eV/f.u.; energy relative to the elements, uncorrected = -1025.2 meV/atom; total energy = -0.955 Ry/atom
1.0
-4.4844 -2.9973 -4.2020
1.2883 -6.2365 -2.4893
-3.6552 -5.3682 2.1671
Mg S Cr
1 8 4
Direct
0.0000 0.0000 0.0000
0.7429 0.7429 0.7713
0.7419 0.7419 0.2468
0.2581 0.7305 0.7532
0.2695 0.7419 0.2468
0.7419 0.2695 0.2468
0.2581 0.2581 0.7532
0.2571 0.2571 0.2287
0.7305 0.2581 0.7532
0.5000 0.0000 0.0000
0.5000 0.5000 0.5000
0.5000 0.5000 0.0000
0.0000 0.5000 0.0000